Nb3Fe | Alexandria via LeMat-Bulk | meta-GGA SCAN | PBEsol geometry; space-group type = Pm-3m; crystal system = cubic; calculated formation energy = 0.27 eV/atom
1.0
-3.2181 -1.1472 -2.1449
2.3274 -0.4182 -3.2682
0.7071 -3.8447 0.9955
Nb Fe
3 1
Direct
0.0000 0.5000 0.5000
0.5000 0.5000 0.0000
0.5000 0.0000 0.5000
0.0000 0.0000 0.0000

GePdF2 | Alexandria via LeMat-Bulk | meta-GGA SCAN | PBEsol geometry; space-group type = Fm-3m; crystal system = cubic; formation energy from raw total energies = -0.816 eV per atom
1.0
4.1376 0.0000 0.0000
2.0688 3.5833 0.0000
2.0688 1.1944 3.3783
Ge Pd F
1 1 2
Direct
0.0000 0.0000 0.0000
0.5000 0.5000 0.5000
0.2500 0.2500 0.2500
0.7500 0.7500 0.7500

SmFe2 | Alexandria via LeMat-Bulk | meta-GGA SCAN | PBEsol geometry; space-group type = Fd-3m; crystal system = cubic; calculated formation energy = 0.06 eV/atom
1.0
-3.8899 -0.8674 3.1566
0.8869 -1.1237 4.8784
-1.1279 3.3745 3.6316
Sm Fe
2 4
Direct
0.5000 0.5000 0.5000
0.7500 0.7500 0.7500
0.6250 0.1250 0.1250
0.1250 0.1250 0.1250
0.1250 0.1250 0.6250
0.1250 0.6250 0.1250

LiTiMnO4 | Alexandria via LeMat-Bulk | meta-GGA SCAN | PBEsol geometry; E above lowest polymorph = 2.7 kJ/mol of atoms; space-group type = P4_322; crystal system = tetragonal; formation energy from raw total energies = -2.642 eV per atom
1.0
6.1732 0.0000 0.0000
0.0000 6.1732 0.0000
0.0000 0.0000 7.1217
Li Ti Mn O
4 4 4 16
Direct
0.0000 0.2173 0.0000
0.0000 0.7827 0.5000
0.2173 0.0000 0.2500
0.7827 0.0000 0.7500
0.2168 0.5000 0.2500
0.5000 0.2168 0.0000
0.5000 0.7832 0.5000
0.7832 0.5000 0.7500
0.2585 0.2585 0.6250
0.2585 0.7415 0.8750
0.7415 0.2585 0.3750
0.7415 0.7415 0.1250
0.0282 0.2674 0.2882
0.0282 0.7326 0.2118
0.2674 0.0282 0.9618
0.2674 0.9718 0.5382
0.2651 0.4593 0.9818
0.2651 0.5407 0.5182
0.4593 0.2651 0.2682
0.4593 0.7349 0.2318
0.5407 0.2651 0.7318
0.5407 0.7349 0.7682
0.7349 0.5407 0.4818
0.7349 0.4593 0.0182
0.7326 0.0282 0.0382
0.7326 0.9718 0.4618
0.9718 0.2674 0.7118
0.9718 0.7326 0.7882

YSc3C | Alexandria via LeMat-Bulk | meta-GGA SCAN | PBEsol geometry; space-group type = Pm-3m; crystal system = cubic; calculated formation energy = 2.37 eV/atom
1.0
4.9591 0.0000 0.0000
0.0000 4.9591 0.0000
0.0000 0.0000 4.9591
Y Sc C
1 3 1
Direct
0.0000 0.0000 0.0000
0.0000 0.5000 0.0000
0.0000 0.0000 0.5000
0.5000 0.0000 0.0000
0.5000 0.5000 0.5000

La4AsAu | Alexandria via LeMat-Bulk | meta-GGA SCAN | PBEsol geometry; space-group type = F-43m; crystal system = cubic; calculated formation energy = 0.03 eV/atom
1.0
-1.7403 -2.7243 -5.2445
3.8379 -3.8581 -2.8881
-1.1931 -6.0436 -0.0833
As Au La
1 1 4
Direct
0.7500 0.7500 0.7500
0.0000 0.0000 0.0000
0.3767 0.3767 0.3767
0.3767 0.3767 0.8698
0.8698 0.3767 0.3767
0.3767 0.8698 0.3767

Number 1: V 16.4 Å³ per atom, E_tot -29.1066 eV per atom. Number 2: V 12.5 Å³ per atom, E_tot -15.5517 eV per atom. Number 3: V 15.5 Å³ per atom, E_tot -26.8384 eV per atom. Number 4: V 9.7 Å³ per atom, E_tot -11.4419 eV per atom. Number 5: V 24.4 Å³ per atom, E_tot -13.7638 eV per atom. Number 6: V 27.6 Å³ per atom, E_tot -43.5932 eV per atom.